1.
Compound: Li6TlIn5
Source: Alexandria via LeMat-Bulk
Functional: PBE
Structure: optimized geometry

Cell: 4.8244 8.3239 8.3239 Å, 120.01 106.60 106.60°
Last column: nearest neighbours and their distance in Å.
Sites, in units of the cell vectors:
Li  0.2489  0.0830  0.4151  7 In 2.92-2.97, 1 Tl 2.94
Li  0.2514  0.7515  0.7515  2 Tl 2.93-2.96, 6 In 2.95-2.98
Li  0.7511  0.9170  0.5849  7 In 2.92-2.97, 1 Tl 2.94
Li  0.7511  0.5849  0.9170  7 In 2.92-2.97, 1 Tl 2.94
Li  0.2489  0.4151  0.0830  7 In 2.92-2.97, 1 Tl 2.94
Li  0.7486  0.2485  0.2485  2 Tl 2.93-2.96, 6 In 2.95-2.98
In  0.0000  0.6671  0.3329  8 Li 2.94-2.97
In  0.0000  0.3329  0.6671  8 Li 2.94-2.97
In  0.5000  0.5000  0.5000  8 Li 2.94-2.98
In  0.5000  0.8299  0.1701  8 Li 2.92-2.98
In  0.5000  0.1701  0.8299  8 Li 2.92-2.98
Tl  0.0000  0.0000  0.0000  8 Li 2.93-2.96

## Properties
total moment	0.000	μB per atom
energy of formation	-273	meV/atom
V	237.5	Å³/cell
crystal system	monoclinic


2.
Compound: NaPrSm2
Source: Alexandria via LeMat-Bulk
Functional: PBE
Structure: optimized geometry

Cell: 3.6378 3.6378 12.4881 Å, 81.63 81.63 60.00°
Last column: nearest neighbours and their distance in Å.
Sites, in units of the cell vectors:
Sm  0.0860  0.0860  0.7420  6 Sm 3.64, 3 Pr 3.64, 3 Na 3.81
Sm  0.2474  0.2474  0.2579  6 Sm 3.64, 3 Pr 3.65, 3 Na 3.81
Pr  0.5000  0.5000  0.5001  6 Pr 3.64, 6 Sm 3.64-3.65
Na  0.6666  0.6666  0.0001  6 Na 3.64, 6 Sm 3.81

## Properties
total moment	0.000	μB per atom
energy of formation	123	meV/atom
V	141.1	Å³/cell
crystal system	trigonal


3.
Compound: SmErCuAg
Source: Alexandria via LeMat-Bulk
Functional: PBE
Structure: optimized geometry

Cell: 3.5447 3.5447 7.2740 Å, 90.00 90.00 90.00°
Last column: nearest neighbours and their distance in Å.
Sites, in units of the cell vectors:
Ag  0.0000  0.0000  0.8395  4 Er 3.08, 4 Sm 3.23, 1 Cu 3.38
Cu  0.0000  0.0000  0.3752  4 Er 2.96, 4 Sm 3.12
Er  0.5000  0.5000  0.5929  4 Cu 2.96, 4 Ag 3.08
Sm  0.5000  0.5000  0.1203  4 Cu 3.12, 4 Ag 3.23, 1 Er 3.44

## Properties
total moment	0.000	μB per atom
energy of formation	-267	meV/atom
V	91.4	Å³/cell
crystal system	tetragonal


4.
Compound: KBiAs2
Source: Alexandria via LeMat-Bulk
Functional: PBE
Structure: optimized geometry

Cell: 7.8874 7.8874 7.3000 Å, 57.30 57.30 90.00°
Last column: nearest neighbours and their distance in Å.
Sites, in units of the cell vectors:
As  0.6914  0.1250  0.2500  2 Bi 2.72
As  0.3750  0.3086  0.7500  2 Bi 2.72
As  0.0586  0.6250  0.2500  2 Bi 2.72
As  0.8750  0.9414  0.7500  2 Bi 2.72
Bi  0.0000  0.0000  0.0000  4 As 2.72
Bi  0.7500  0.2500  0.5000  4 As 2.72
K  0.5000  0.5000  0.0000  4 As 3.39
K  0.2500  0.7500  0.5000  4 As 3.39

## Properties
total moment	0.000	μB per atom
energy of formation	30	meV/atom
V	293.0	Å³/cell
crystal system	tetragonal


5.
Compound: CeAlRu
Source: Alexandria via LeMat-Bulk
Functional: PBE
Structure: optimized geometry

Cell: 4.0573 7.2934 15.7966 Å, 90.00 90.00 90.00°
Last column: nearest neighbours and their distance in Å.
Sites, in units of the cell vectors:
Ru  0.7500  0.2658  0.5662  5 Al 2.63-2.68, 3 Ce 2.77-2.94
Ru  0.2500  0.7620  0.6801  3 Al 2.67-2.82, 4 Ce 2.81-2.93
Ru  0.2500  0.2620  0.8199  3 Al 2.67-2.82, 4 Ce 2.81-2.93
Ru  0.7500  0.2380  0.3199  3 Al 2.67-2.82, 4 Ce 2.81-2.93
Ru  0.2500  0.2342  0.0662  5 Al 2.63-2.68, 3 Ce 2.77-2.94
Ru  0.7500  0.7658  0.9338  5 Al 2.63-2.68, 3 Ce 2.77-2.94
Ru  0.2500  0.7342  0.4338  5 Al 2.63-2.68, 3 Ce 2.77-2.94
Ru  0.7500  0.7380  0.1801  3 Al 2.67-2.82, 4 Ce 2.81-2.93
Ce  0.7500  0.9525  0.7809  5 Ru 2.77-3.10
Ce  0.2500  0.5475  0.2809  5 Ru 2.77-3.10
Ce  0.2500  0.0475  0.2191  5 Ru 2.77-3.10
Ce  0.7500  0.3300  0.9390  4 Ru 2.81-2.94, 1 Al 3.09
Ce  0.2500  0.6700  0.0610  4 Ru 2.81-2.94, 1 Al 3.09
Ce  0.2500  0.1700  0.4390  4 Ru 2.81-2.94, 1 Al 3.09
Ce  0.7500  0.4525  0.7191  5 Ru 2.77-3.10
Ce  0.7500  0.8300  0.5610  4 Ru 2.81-2.94, 1 Al 3.09
Al  0.2500  0.1317  0.6517  4 Ru 2.63-2.82
Al  0.7500  0.5026  0.4368  4 Ru 2.64-2.68, 2 Al 2.85
Al  0.2500  0.4974  0.5632  4 Ru 2.64-2.68, 2 Al 2.85
Al  0.7500  0.8683  0.3483  4 Ru 2.63-2.82
Al  0.2500  0.6317  0.8483  4 Ru 2.63-2.82
Al  0.7500  0.0026  0.0632  4 Ru 2.64-2.68, 2 Al 2.85
Al  0.7500  0.3683  0.1517  4 Ru 2.63-2.82
Al  0.2500  0.9974  0.9368  4 Ru 2.64-2.68, 2 Al 2.85

## Properties
total moment	0.000	μB per atom
energy of formation	-606	meV/atom
V	467.4	Å³/cell
crystal system	orthorhombic


6.
Compound: Tb2PrSm
Source: Alexandria via LeMat-Bulk
Functional: PBE
Structure: optimized geometry

Cell: 5.0956 5.1201 5.1201 Å, 90.00 90.00 90.00°
Last column: nearest neighbours and their distance in Å.
Sites, in units of the cell vectors:
Tb  0.0000  0.0000  0.5000  4 Sm 3.61, 4 Pr 3.61, 4 Tb 3.62
Tb  0.0000  0.5000  0.0000  4 Sm 3.61, 4 Pr 3.61, 4 Tb 3.62
Sm  0.5000  0.0000  0.0000  8 Tb 3.61, 4 Pr 3.62
Pr  0.5000  0.5000  0.5000  8 Tb 3.61, 4 Sm 3.62

## Properties
total moment	0.000	μB per atom
energy of formation	19	meV/atom
V	133.6	Å³/cell
crystal system	tetragonal


7.
Compound: KSb2O6
Source: Alexandria via LeMat-Bulk
Functional: PBE
Structure: optimized geometry

Cell: 2.8917 6.8710 6.8710 Å, 120.00 90.00 90.00°
Last column: nearest neighbours and their distance in Å.
Sites, in units of the cell vectors:
O  0.7567  0.4363  0.2970  2 Sb 2.06-2.07
O  0.7567  0.8607  0.5637  2 Sb 2.06-2.07
O  0.2433  0.1393  0.4363  2 Sb 2.06-2.07
O  0.2433  0.5637  0.7030  2 Sb 2.06-2.07
O  0.2433  0.2970  0.8607  2 Sb 2.06-2.07
O  0.7567  0.7030  0.1393  2 Sb 2.06-2.07
Sb  0.2559  0.6667  0.3333  6 O 2.06-2.07
Sb  0.7441  0.3333  0.6667  6 O 2.06-2.07
K  0.5000  0.0000  0.0000  6 O 2.75, 2 K 2.89

## Properties
total moment	0.115	μB per atom
formation energy from raw total energies	-1.041	eV/atom
V	118.2	Å³/cell
crystal system	trigonal


8.
Compound: Hf2GaTcH
Source: Alexandria via LeMat-Bulk
Functional: PBE
Structure: optimized geometry

Cell: 4.5015 4.5015 3.6571 Å, 90.00 90.00 90.00°
Last column: nearest neighbours and their distance in Å.
Sites, in units of the cell vectors:
Hf  0.0000  0.5000  0.0000  2 H 2.25
Hf  0.5000  0.0000  0.0000  2 H 2.25
Tc  0.0000  0.0000  0.5000  2 H 1.83
H  0.0000  0.0000  0.0000  2 Tc 1.83
Ga  0.5000  0.5000  0.5000  8 Hf 2.90, 4 Tc 3.18

## Properties
total moment	0.000	μB per atom
uncorrected energy	-38.49	eV/f.u.
V	74.1	Å³/cell
crystal system	tetragonal


9.
Compound: CsNd2Te4
Source: Alexandria via LeMat-Bulk
Functional: PBE
Structure: optimized geometry

Cell: 4.6151 4.6151 16.0584 Å, 81.74 81.74 60.00°
Last column: nearest neighbours and their distance in Å.
Sites, in units of the cell vectors:
Nd  0.4022  0.4022  0.7934  6 Te 3.15-3.23
Nd  0.5978  0.5978  0.2066  6 Te 3.15-3.23
Te  0.7003  0.7003  0.8991  3 Nd 3.15
Te  0.8927  0.8927  0.3220  3 Nd 3.23
Te  0.2997  0.2997  0.1009  3 Nd 3.15
Te  0.1073  0.1073  0.6780  3 Nd 3.23
Cs  0.5000  0.5000  0.5000  6 Te 3.88

## Properties
total moment	0.000	μB per atom
formation energy from raw total energies	-1.180	eV/atom
V	292.1	Å³/cell
crystal system	trigonal


10.
Compound: KCuBr2
Source: Alexandria via LeMat-Bulk
Functional: PBE
Structure: optimized geometry

Cell: 4.2403 4.9735 6.8409 Å, 78.88 90.00 90.00°
Last column: nearest neighbours and their distance in Å.
Sites, in units of the cell vectors:
Cu  0.0000  0.3358  0.4855  3 Br 2.39-2.41
K  0.5000  0.5809  0.8495  6 Br 3.26-3.56
Br  0.5000  0.4979  0.3437  2 Cu 2.41
Br  0.0000  0.0855  0.8212  1 Cu 2.39

## Properties
total moment	0.000	μB per atom
formation energy from raw total energies	-0.962	eV/atom
V	141.6	Å³/cell
crystal system	monoclinic


11.
Compound: AcGe2Pt
Source: Alexandria via LeMat-Bulk
Functional: PBE
Structure: optimized geometry

Cell: 4.7394 4.3966 4.3966 Å, 90.00 90.00 90.00°
Last column: nearest neighbours and their distance in Å.
Sites, in units of the cell vectors:
Ge  0.0000  0.0000  0.5000  4 Ge 3.11, 4 Ac 3.23, 4 Pt 3.23
Ge  0.0000  0.5000  0.0000  4 Ge 3.11, 4 Ac 3.23, 4 Pt 3.23
Ac  0.5000  0.5000  0.5000  4 Pt 3.11, 8 Ge 3.23
Pt  0.5000  0.0000  0.0000  4 Ac 3.11, 8 Ge 3.23

## Properties
total moment	0.000	μB per atom
energy of formation	-400	meV/atom
V	91.6	Å³/cell
crystal system	tetragonal


12.
Compound: LaSm5As6
Source: Alexandria via LeMat-Bulk
Functional: PBE
Structure: optimized geometry

Cell: 7.3482 7.3498 7.3486 Å, 59.99 80.40 70.52°
Last column: nearest neighbours and their distance in Å.
Sites, in units of the cell vectors:
La  0.0000  0.0000  0.0000  6 As 3.03
Sm  0.5000  0.5000  0.0000  6 As 2.97-3.00
Sm  0.5000  0.8341  0.3319  6 As 2.97-3.00
Sm  0.5000  0.1659  0.6681  6 As 2.97-3.00
Sm  0.0000  0.3331  0.3339  6 As 3.00
Sm  0.0000  0.6669  0.6661  6 As 3.00
As  0.7472  0.4215  0.6628  5 Sm 2.97-3.00, 1 La 3.03
As  0.2519  0.2534  0.0000  5 Sm 2.97-3.00, 1 La 3.03
As  0.7472  0.0843  0.3372  5 Sm 2.97-3.00, 1 La 3.03
As  0.2528  0.5785  0.3372  5 Sm 2.97-3.00, 1 La 3.03
As  0.7481  0.7466  0.0000  5 Sm 2.97-3.00, 1 La 3.03
As  0.2528  0.9157  0.6628  5 Sm 2.97-3.00, 1 La 3.03

## Properties
total moment	0.000	μB per atom
energy of formation	-1533	meV/atom
V	324.0	Å³/cell
crystal system	monoclinic